No. 1
Computed, not measured: a relaxed CdFeCoSb crystal at the GGA-PBE level of DFT.

Unit cell a=4.446 b=4.446 c=4.446 alpha=60.00 beta=60.00 gamma=60.00
Last column: magnetic moment on the atom in μB.
Positions (direct):
1 Cd 0.500 0.500 0.500  -0.03
2 Co 0.750 0.750 0.750  0.38
3 Fe 0.250 0.250 0.250  1.94
4 Sb 0.000 0.000 0.000  -0.03

## Properties
**Distance to the lowest polymorph of the same formula**: 0.00 kJ/mol of atoms
**M_tot**: 2.20 μB per formula unit
**Space group**: F-43m

No. 2
Computed, not measured: a relaxed SmDyFe2Ni6B2 crystal at the GGA-PBE level of DFT.

Unit cell a=5.042 b=5.042 c=7.046 alpha=90.00 beta=90.00 gamma=120.00
Last column: magnetic moment on the atom in μB.
Positions (direct):
1 B 0.667 0.333 0.500  -0.01
2 B 0.333 0.667 0.500  -0.01
3 Dy 0.000 0.000 0.500  -0.13
4 Fe 0.667 0.333 0.000  2.57
5 Fe 0.333 0.667 0.000  2.57
6 Ni 0.500 0.000 0.296  0.06
7 Ni 0.000 0.500 0.296  0.07
8 Ni 0.500 0.500 0.296  0.05
9 Ni 0.500 0.000 0.704  0.06
10 Ni 0.000 0.500 0.704  0.07
11 Ni 0.500 0.500 0.704  0.05
12 Sm 0.000 0.000 0.000  -0.19

## Properties
**Distance to the lowest polymorph of the same formula**: 0.00 kJ/mol of atoms
**M_tot**: 4.94 μB per formula unit
**Space group**: P6/mmm

No. 3
Computed, not measured: a relaxed MoSeS3Br crystal at the GGA-PBE level of DFT.

Unit cell a=6.230 b=7.890 c=7.930 alpha=119.71 beta=104.83 gamma=97.90
Positions (direct):
1 Br 0.740 0.632 0.402
2 Br 0.260 0.368 0.598
3 Mo 0.779 0.000 0.000
4 Mo 0.221 0.000 0.000
5 S 0.465 0.777 0.014
6 S 0.014 0.838 0.128
7 S 0.122 0.303 0.212
8 S 0.878 0.697 0.788
9 S 0.986 0.162 0.872
10 S 0.535 0.223 0.986
11 Se 0.614 0.091 0.303
12 Se 0.386 0.909 0.697

## Properties
**Distance to the lowest polymorph of the same formula**: 2.96 kJ/mol of atoms
**M_tot**: 0.00 μB per formula unit
**Space group**: P-1

No. 4
Computed, not measured: a relaxed TlCd2InSe4 crystal at the GGA-PBE level of DFT.

Unit cell a=7.886 b=7.886 c=7.886 alpha=132.32 beta=132.32 gamma=69.72
Positions (direct):
1 Cd 0.500 0.500 0.000
2 Cd 0.750 0.250 0.500
3 In 0.000 0.000 0.000
4 Se 0.667 0.158 0.050
5 Se 0.383 0.333 0.491
6 Se 0.842 0.892 0.509
7 Se 0.108 0.617 0.950
8 Tl 0.250 0.750 0.500

## Properties
**Calculated total energy**: -3.0989 eV per atom
**Space group**: I-4